TbPm3YTh: relaxed, PBE.

Results
- Energy relative to the elements: 3 kJ/mol of atoms

a = 5.109 Å, b = 8.073 Å, c = 10.858 Å
α = 116.65°, β = 90.00°, γ = 90.00°
Element x y z (fractional)
Tb (0.250, 0.127, 0.628)
Tb (0.750, 0.873, 0.372)
Pm (0.750, 0.866, 0.045)
Pm (0.250, 0.134, 0.955)
Pm (0.250, 0.627, 0.456)
Pm (0.750, 0.373, 0.544)
Pm (0.750, 0.383, 0.206)
Pm (0.250, 0.617, 0.794)
Y (0.250, 0.121, 0.292)
Y (0.750, 0.879, 0.708)
Th (0.250, 0.623, 0.122)
Th (0.750, 0.377, 0.878)

***

NbGa4: relaxed, PBE.

Results
- Energy relative to the elements: 44 kJ/mol of atoms

a = 5.075 Å, b = 5.075 Å, c = 5.075 Å
α = 90.00°, β = 90.00°, γ = 90.00°
Element x y z (fractional)
Nb (0.500, 0.500, 0.500)
Ga (0.000, 0.000, 0.000)
Ga (0.500, 0.000, 0.500)
Ga (0.000, 0.500, 0.500)
Ga (0.500, 0.500, 0.000)

***

YCd2SiOs: relaxed, PBE.

Results
- Formation energy (no corrections): 978.8 meV per atom

a = 4.781 Å, b = 5.423 Å, c = 4.781 Å
α = 90.00°, β = 90.00°, γ = 90.00°
Site moments in Bohr magnetons follow the coordinates.
Element x y z (fractional)
Y (0.000, 0.500, 0.000)  -0.13
Si (0.000, 0.000, 0.000)  0.04
Os (0.500, 0.500, 0.500)  1.68
Cd (0.000, 0.000, 0.500)  -0.03
Cd (0.500, 0.000, 0.000)  -0.02

***

Zr6Co5Re: relaxed, PBE.

Results
- Energy relative to the elements: -27 kJ/mol of atoms

a = 4.561 Å, b = 6.428 Å, c = 7.878 Å
α = 114.08°, β = 106.86°, γ = 90.00°
Site moments in Bohr magnetons follow the coordinates.
Element x y z (fractional)
Re (0.000, 0.000, 0.000)  0.05
Co (0.334, 0.834, 0.669)  0.91
Co (0.669, 0.669, 0.337)  0.85
Co (0.000, 0.500, 0.000)  0.82
Co (0.331, 0.331, 0.663)  0.85
Co (0.666, 0.166, 0.331)  0.91
Zr (0.168, 0.419, 0.336)  -0.09
Zr (0.168, 0.917, 0.336)  -0.09
Zr (0.500, 0.253, 0.000)  -0.08
Zr (0.500, 0.747, 0.000)  -0.08
Zr (0.832, 0.083, 0.664)  -0.09
Zr (0.832, 0.581, 0.664)  -0.09

***

BIrRu3: relaxed, PBE.

Results
- Energy relative to the elements: 22 kJ/mol of atoms
- ΔE to the lowest computed polymorph: 0 meV per atom

a = 4.039 Å, b = 4.039 Å, c = 4.039 Å
α = 90.00°, β = 90.00°, γ = 90.00°
Element x y z (fractional)
Ru (0.000, 0.500, 0.000)
Ru (0.000, 0.000, 0.500)
Ru (0.500, 0.000, 0.000)
B (0.000, 0.000, 0.000)
Ir (0.500, 0.500, 0.500)

***

Eu2Sb3: relaxed, PBE.

Results
- Formation energy (no corrections): -825.8 meV per atom

a = 12.633 Å, b = 6.510 Å, c = 15.040 Å
α = 90.03°, β = 89.99°, γ = 90.00°
Site moments in Bohr magnetons follow the coordinates.
Element x y z (fractional)
Eu (0.778, 0.000, 0.750)  -6.81
Eu (0.278, 0.000, 0.750)  6.81
Eu (0.222, 0.000, 0.250)  -6.81
Eu (0.722, 0.000, 0.250)  6.81
Eu (0.973, 0.500, 0.750)  -6.81
Eu (0.473, 0.500, 0.750)  6.81
Eu (0.027, 0.500, 0.250)  -6.81
Eu (0.527, 0.500, 0.250)  6.81
Eu (0.875, 0.250, 0.000)  -6.80
Eu (0.375, 0.750, 0.500)  6.80
Eu (0.125, 0.750, 0.000)  -6.80
Eu (0.625, 0.250, 0.500)  6.80
Eu (0.875, 0.750, 0.500)  -6.80
Eu (0.375, 0.250, 0.000)  6.80
Eu (0.125, 0.250, 0.500)  -6.80
Eu (0.625, 0.750, 0.000)  6.80
Sb (0.875, 0.750, 0.928)  0.02
Sb (0.375, 0.250, 0.572)  -0.02
Sb (0.125, 0.250, 0.072)  0.02
Sb (0.625, 0.750, 0.428)  -0.02
Sb (0.539, 0.937, 0.655)  -0.01
Sb (0.039, 0.063, 0.845)  0.01
Sb (0.461, 0.063, 0.345)  -0.01
Sb (0.961, 0.937, 0.155)  0.01
Sb (0.039, 0.937, 0.655)  0.01
Sb (0.539, 0.063, 0.845)  -0.01
Sb (0.961, 0.063, 0.345)  0.01
Sb (0.461, 0.937, 0.155)  -0.01
Sb (0.711, 0.437, 0.845)  0.00
Sb (0.212, 0.563, 0.655)  0.00
Sb (0.289, 0.563, 0.155)  0.00
Sb (0.788, 0.437, 0.345)  0.00
Sb (0.712, 0.563, 0.655)  0.00
Sb (0.212, 0.437, 0.845)  0.00
Sb (0.288, 0.437, 0.345)  0.00
Sb (0.788, 0.563, 0.155)  0.00
Sb (0.875, 0.250, 0.572)  0.02
Sb (0.375, 0.749, 0.928)  -0.02
Sb (0.125, 0.750, 0.428)  0.02
Sb (0.625, 0.251, 0.072)  -0.02

***

In2HgB2Rh5: relaxed, PBE.

Results
- Energy relative to the elements: -27 kJ/mol of atoms

a = 2.980 Å, b = 9.885 Å, c = 9.885 Å
α = 90.00°, β = 90.00°, γ = 90.00°
Element x y z (fractional)
In (0.000, 0.679, 0.179)
In (0.000, 0.321, 0.821)
In (0.000, 0.179, 0.321)
In (0.000, 0.821, 0.679)
Hg (0.000, 0.000, 0.000)
Hg (0.000, 0.500, 0.500)
B (0.000, 0.123, 0.623)
B (0.000, 0.877, 0.377)
B (0.000, 0.623, 0.877)
B (0.000, 0.377, 0.123)
Rh (0.500, 0.230, 0.069)
Rh (0.500, 0.770, 0.931)
Rh (0.500, 0.069, 0.770)
Rh (0.500, 0.730, 0.431)
Rh (0.500, 0.931, 0.230)
Rh (0.500, 0.270, 0.569)
Rh (0.500, 0.569, 0.730)
Rh (0.500, 0.431, 0.270)
Rh (0.500, 0.500, 0.000)
Rh (0.500, 0.000, 0.500)

***

SrAc2Ag: relaxed, PBE.

Results
- Energy relative to the elements: 2 kJ/mol of atoms
- ΔE to the lowest computed polymorph: 100 meV per atom

a = 4.109 Å, b = 4.109 Å, c = 11.677 Å
α = 79.87°, β = 79.87°, γ = 60.00°
Element x y z (fractional)
Sr (0.499, 0.499, 0.502)
Ac (0.067, 0.067, 0.800)
Ac (0.267, 0.267, 0.199)
Ag (0.667, 0.667, 0.999)

***

Co2BMoP: relaxed, PBE.

Results
- Energy relative to the elements: 94 kJ/mol of atoms
- ΔE to the lowest computed polymorph: 0 meV per atom

a = 3.964 Å, b = 4.533 Å, c = 3.964 Å
α = 90.00°, β = 90.00°, γ = 90.00°
Site moments in Bohr magnetons follow the coordinates.
Element x y z (fractional)
P (0.000, 0.000, 0.000)  -0.01
Mo (0.000, 0.500, 0.000)  0.02
B (0.500, 0.500, 0.500)  -0.01
Co (0.000, 0.000, 0.500)  0.85
Co (0.500, 0.000, 0.000)  1.11

***

Sm3WN6: relaxed, PBE.

Results
- Formation energy (no corrections): -732.8 meV per atom

a = 5.512 Å, b = 7.683 Å, c = 7.683 Å
α = 102.16°, β = 90.00°, γ = 90.00°
Site moments in Bohr magnetons follow the coordinates.
Element x y z (fractional)
Sm (0.474, 0.920, 0.705)  0.01
Sm (0.974, 0.705, 0.920)  0.01
Sm (0.447, 0.394, 0.606)  -0.01
Sm (0.947, 0.606, 0.394)  -0.01
Sm (0.974, 0.080, 0.295)  0.01
Sm (0.474, 0.295, 0.080)  0.01
W (0.015, 0.199, 0.801)  -0.06
W (0.515, 0.801, 0.199)  -0.06
N (0.215, 0.668, 0.653)  0.32
N (0.715, 0.653, 0.668)  0.32
N (0.170, 0.416, 0.888)  0.20
N (0.670, 0.888, 0.416)  0.20
N (0.136, 0.053, 0.947)  0.12
N (0.670, 0.212, 0.788)  0.15
N (0.170, 0.788, 0.212)  0.15
N (0.636, 0.947, 0.053)  0.12
N (0.170, 0.112, 0.584)  0.20
N (0.670, 0.584, 0.112)  0.20
N (0.215, 0.347, 0.332)  0.32
N (0.715, 0.332, 0.347)  0.32

***

Energy for the records above, in order: -5.4311; -3.9781; -4.0106; -8.5526; -8.4413; -7.4090; -5.8691; -3.1697; -6.4555; -8.4390 eV/atom